Cs3RbGe2S6, optimized geometry, DFT PBE-GGA; formation energy (no corrections) = -0.88 eV/atom; calculated total energy = -4.003 eV per atom
1.0
-6.752 3.631 0.095
2.531 -3.217 -6.482
-4.695 -8.797 2.532
Cs Rb Ge S
3 1 2 6
Direct
0.333 0.667 0.717
0.667 0.333 0.283
0.000 0.000 0.000
0.000 0.000 0.500
0.667 0.333 0.738
0.333 0.667 0.262
0.654 0.827 0.263
0.173 0.346 0.263
0.173 0.827 0.263
0.827 0.654 0.737
0.346 0.173 0.737
0.827 0.173 0.737

Nd2TmRe, optimized geometry, DFT PBE-GGA; formation energy from the elements = 886 meV per atom; calculated total energy = -5.728 eV per atom
1.0
-0.677 2.770 -1.684
-3.145 0.932 -0.459
-0.917 7.223 8.994
Re Tm Nd
1 1 2
Direct
0.000 0.000 0.000
0.500 0.500 0.500
0.078 0.078 0.766
0.922 0.922 0.234

Ru2PbCl, optimized geometry, DFT PBE-GGA; formation energy (no corrections) = 0.71 eV/atom; offset from the most stable computed form = 0.543 eV per atom; calculated total energy = -5.318 eV per atom
1.0
4.279 0.000 0.000
0.000 3.099 -0.024
0.000 0.476 5.399
Cl Pb Ru
1 1 2
Direct
0.500 0.250 0.250
0.500 0.750 0.750
0.000 0.051 0.051
0.000 0.449 0.449

LiTmZr, optimized geometry, DFT PBE-GGA; formation energy from the elements = 98 meV per atom; offset from the most stable computed form = 0.001 eV per atom; calculated total energy = -4.880 eV per atom
1.0
-3.807 -3.329 -0.063
0.249 -4.184 2.830
-6.812 3.893 2.321
Li Tm Zr
2 2 2
Direct
0.330 0.357 0.792
0.001 0.019 0.790
0.937 0.409 0.526
0.394 0.967 0.055
0.832 0.855 0.291
0.499 0.521 0.291

SmGdS2, optimized geometry, DFT PBE-GGA; formation energy (no corrections) = -2.06 eV/atom; calculated total energy = -8.824 eV per atom
1.0
-0.484 6.540 2.231
-3.589 4.580 3.758
-0.008 4.265 5.458
S Gd Sm
2 1 1
Direct
0.252 0.252 0.252
0.748 0.748 0.748
0.000 0.000 0.000
0.500 0.500 0.500

LiCe2USe5, optimized geometry, DFT PBE-GGA; formation energy (no corrections) = -1.50 eV/atom; calculated total energy = -6.221 eV per atom
1.0
-4.016 -0.654 0.805
0.424 -0.365 -8.865
2.113 -12.233 0.604
Li Ce U Se
2 4 2 10
Direct
0.524 0.047 0.971
0.476 0.953 0.471
0.873 0.746 0.802
0.108 0.216 0.686
0.127 0.254 0.302
0.892 0.784 0.186
0.799 0.597 0.507
0.201 0.403 0.007
0.366 0.732 0.999
0.688 0.377 0.849
0.497 0.995 0.776
0.287 0.574 0.665
0.951 0.902 0.568
0.634 0.268 0.499
0.312 0.623 0.349
0.503 0.005 0.276
0.713 0.426 0.165
0.049 0.098 0.068

CsRb4Au3, optimized geometry, DFT PBE-GGA; formation energy from the elements = -192 meV per atom; offset from the most stable computed form = 0.008 eV per atom; calculated total energy = -2.012 eV per atom
1.0
-2.065 -0.574 5.322
-4.029 -3.589 -1.951
7.016 -8.838 1.768
Cs Rb Au
1 4 3
Direct
0.000 0.000 0.500
0.000 0.500 0.190
0.000 0.500 0.810
0.500 0.000 0.810
0.500 0.000 0.190
0.000 0.000 0.000
0.500 0.500 0.377
0.500 0.500 0.623

Hf2BF, optimized geometry, DFT PBE-GGA; formation energy (no corrections) = -0.72 eV/atom; offset from the most stable computed form = 0.059 eV per atom; calculated total energy = -7.830 eV per atom
1.0
-1.627 -4.785 0.211
1.435 -0.700 -4.800
4.700 -4.300 -0.634
B Hf F
2 4 2
Direct
0.500 0.500 0.000
0.250 0.750 0.500
0.610 0.125 0.250
0.140 0.625 0.250
0.375 0.390 0.750
0.875 0.860 0.750
0.000 0.000 0.000
0.750 0.250 0.500

> What is the formula in the third record?

Ru2PbCl